First-principles (PBE) data for a geometry-optimized ZrH3Os structure, as listed in the Alexandria database.

Unit cell a=3.659 b=3.659 c=3.659 alpha=90.00 beta=90.00 gamma=90.00
Fractional positions:
Zr: 0.000 0.000 0.000
H: 0.000 0.000 0.500
H: 0.000 0.500 0.000
H: 0.500 0.000 0.000
Os: 0.500 0.500 0.500

- crystal system = cubic
- SG = No. 221
- total energy (eV per atom) = -5.34